Compound: NbOsN2
Source: Alexandria
Functional: PBE-GGA
Structure: optimized geometry

Cell lengths 3.896, 3.896, 3.896 Å; angles 60.00, 60.00, 60.00 degrees
Positions (direct):
1 Nb 0.000 0.000 0.000
2 Os 0.500 0.500 0.500
3 N 0.250 0.250 0.250
4 N 0.750 0.750 0.750

## Properties
Symmetry: Fm-3m
Offset from the most stable computed form, meV per atom: 721
Formation energy (no corrections), eV/atom: 0.667
Crystal system: cubic



Compound: PrGdGe2
Source: Alexandria
Functional: PBE-GGA
Structure: optimized geometry

Cell lengths 3.875, 3.875, 6.507 Å; angles 90.00, 90.00, 90.00 degrees
Positions (direct):
1 Pr 0.500 0.500 0.000
2 Ge 0.000 0.000 0.715
3 Ge 0.000 0.000 0.285
4 Gd 0.500 0.500 0.500

## Properties
Symmetry: P4/mmm
Offset from the most stable computed form, meV per atom: 14
Energy of formation from the pure elements, eV/f.u.: -2.59
Crystal system: tetragonal



Compound: NaRePt2
Source: Alexandria
Functional: PBE-GGA
Structure: optimized geometry

Cell lengths 4.487, 4.487, 4.487 Å; angles 60.00, 60.00, 60.00 degrees
Positions (direct):
1 Re 0.500 0.500 0.500
2 Pt 0.250 0.250 0.250
3 Pt 0.750 0.750 0.750
4 Na 0.000 0.000 0.000

## Properties
Symmetry: Fm-3m
Offset from the most stable computed form, meV per atom: 0
Energy of formation from the pure elements, eV/f.u.: 1.54
Crystal system: cubic



Compound: SmDy5TlIn2
Source: Alexandria
Functional: PBE-GGA
Structure: optimized geometry

Cell lengths 8.586, 8.586, 9.338 Å; angles 117.37, 117.37, 90.00 degrees
Positions (direct):
1 Sm 0.250 0.750 0.500
2 Sm 0.750 0.250 0.500
3 Dy 0.925 0.425 0.266
4 Dy 0.659 0.159 0.734
5 Dy 0.075 0.575 0.734
6 Dy 0.159 0.075 0.734
7 Dy 0.575 0.659 0.734
8 Dy 0.841 0.925 0.266
9 Dy 0.425 0.341 0.266
10 Dy 0.341 0.841 0.266
11 Dy 0.500 0.500 0.000
12 Dy 0.000 0.000 0.000
13 Tl 0.250 0.250 0.500
14 Tl 0.750 0.750 0.500
15 In 0.110 0.390 0.000
16 In 0.610 0.110 0.000
17 In 0.390 0.890 0.000
18 In 0.890 0.610 0.000

## Properties
Symmetry: I4/mcm
Energy of formation from the pure elements, eV/f.u.: -0.51
Crystal system: tetragonal



Compound: Ac5Dy2Pb4
Source: Alexandria
Functional: PBE-GGA
Structure: optimized geometry

Cell lengths 3.847, 9.309, 12.902 Å; angles 112.41, 98.57, 90.00 degrees
Positions (direct):
1 Ac 0.170 0.915 0.341
2 Ac 0.830 0.085 0.659
3 Ac 0.127 0.292 0.253
4 Ac 0.500 0.000 0.000
5 Ac 0.873 0.708 0.747
6 Dy 0.727 0.633 0.454
7 Dy 0.273 0.367 0.546
8 Pb 0.594 0.567 0.188
9 Pb 0.017 0.699 0.033
10 Pb 0.406 0.433 0.812
11 Pb 0.983 0.301 0.967

## Properties
Symmetry: C2/m
Energy of formation from the pure elements, eV/f.u.: 0.10
Crystal system: monoclinic



Compound: CaHg2AuO4
Source: Alexandria
Functional: PBE-GGA
Structure: optimized geometry

Cell lengths 5.479, 5.479, 5.479 Å; angles 105.28, 111.60, 111.60 degrees
Positions (direct):
1 Ca 0.500 0.250 0.750
2 Hg 0.500 0.750 0.250
3 Hg 0.000 0.000 0.000
4 Au 0.000 0.500 0.500
5 O 0.533 0.327 0.206
6 O 0.880 0.206 0.673
7 O 0.120 0.794 0.326
8 O 0.467 0.674 0.794

## Properties
Symmetry: I-4
Formation energy (no corrections), eV/atom: -0.781
Crystal system: tetragonal



Compound: NbCoC2
Source: Alexandria
Functional: PBE-GGA
Structure: optimized geometry

Cell lengths 3.782, 3.782, 3.782 Å; angles 60.00, 60.00, 60.00 degrees
Positions (direct):
1 Nb 0.500 0.500 0.500
2 Co 0.000 0.000 0.000
3 C 0.250 0.250 0.250
4 C 0.750 0.750 0.750

## Properties
Symmetry: Fm-3m
Energy of formation from the pure elements, eV/f.u.: 3.36
Crystal system: cubic



Compound: FeBrCl2
Source: Alexandria
Functional: PBE-GGA
Structure: optimized geometry

Cell lengths 5.024, 5.024, 5.072 Å; angles 65.19, 65.19, 99.59 degrees
Positions (direct):
1 Fe 0.500 0.000 0.500
2 Br 0.000 0.500 0.500
3 Cl 0.000 0.000 0.000
4 Cl 0.500 0.500 0.000

## Properties
Symmetry: C2/m
Offset from the most stable computed form, meV per atom: 958
Formation energy (no corrections), eV/atom: 0.325
Crystal system: monoclinic



Compound: CeNdPt2
Source: Alexandria
Functional: PBE-GGA
Structure: optimized geometry

Cell lengths 4.082, 4.082, 7.505 Å; angles 74.22, 74.22, 60.00 degrees
Positions (direct):
1 Ce 0.669 0.669 0.993
2 Nd 0.497 0.497 0.508
3 Pt 0.080 0.080 0.760
4 Pt 0.254 0.254 0.239

## Properties
Symmetry: R3m
Offset from the most stable computed form, meV per atom: 117
Energy of formation from the pure elements, eV/f.u.: -4.01
Crystal system: trigonal



Compound: MgZrCo2
Source: Alexandria
Functional: PBE-GGA
Structure: optimized geometry

Cell lengths 4.290, 4.290, 3.208 Å; angles 90.00, 90.00, 90.00 degrees
Positions (direct):
1 Mg 0.500 0.000 0.500
2 Co 0.000 0.000 0.000
3 Co 0.500 0.500 0.000
4 Zr 0.000 0.500 0.500

## Properties
Symmetry: P4/mmm
Energy of formation from the pure elements, eV/f.u.: -0.61
Crystal system: tetragonal



Compound: LuThCu2
Source: Alexandria
Functional: PBE-GGA
Structure: optimized geometry

Cell lengths 4.954, 4.954, 4.954 Å; angles 60.00, 60.00, 60.00 degrees
Positions (direct):
1 Lu 0.500 0.500 0.500
2 Th 0.000 0.000 0.000
3 Cu 0.250 0.250 0.250
4 Cu 0.750 0.750 0.750

## Properties
Symmetry: Fm-3m
Offset from the most stable computed form, meV per atom: 17
Energy of formation from the pure elements, eV/f.u.: -0.63
Crystal system: cubic



Compound: U3P2S
Source: Alexandria
Functional: PBE-GGA
Structure: optimized geometry

Cell lengths 3.908, 3.908, 8.738 Å; angles 102.92, 102.92, 90.00 degrees
Positions (direct):
1 U 0.934 0.936 0.874
2 U 0.268 0.269 0.541
3 U 0.601 0.602 0.207
4 P 0.101 0.102 0.208
5 P 0.768 0.769 0.540
6 S 0.434 0.436 0.874

## Properties
Symmetry: I4/mmm
Offset from the most stable computed form, meV per atom: 7
Formation energy (no corrections), eV/atom: -1.110
Crystal system: tetragonal



Compound: Na3CeEr3Se8
Source: Alexandria
Functional: PBE-GGA
Structure: optimized geometry

Cell lengths 8.251, 8.249, 8.489 Å; angles 119.13, 90.00, 120.01 degrees
Positions (direct):
1 Na 0.000 0.000 0.000
2 Na 0.000 0.500 0.000
3 Na 0.500 0.500 0.000
4 Ce 0.000 0.000 0.500
5 Er 0.500 0.000 0.500
6 Er 0.500 0.500 0.500
7 Er 0.000 0.500 0.500
8 Se 0.257 0.515 0.272
9 Se 0.743 0.485 0.728
10 Se 0.757 0.514 0.275
11 Se 0.243 0.486 0.725
12 Se 0.757 0.018 0.275
13 Se 0.243 0.982 0.725
14 Se 0.261 0.018 0.275
15 Se 0.739 0.982 0.725

## Properties
Symmetry: C2/m
Formation energy (no corrections), eV/atom: -1.671
Crystal system: monoclinic



Compound: Na2CuSiW
Source: Alexandria
Functional: PBE-GGA
Structure: optimized geometry

Cell lengths 5.277, 4.790, 5.277 Å; angles 90.00, 90.00, 90.00 degrees
Positions (direct):
1 Na 0.000 0.000 0.500
2 Na 0.500 0.000 0.000
3 Si 0.000 0.000 0.000
4 Cu 0.500 0.500 0.500
5 W 0.000 0.500 0.000

## Properties
Symmetry: P4/mmm
Formation energy (no corrections), eV/atom: 1.208
Crystal system: tetragonal



Compound: SrCdTe2
Source: Alexandria
Functional: PBE-GGA
Structure: optimized geometry

Cell lengths 4.312, 4.312, 6.722 Å; angles 90.00, 90.00, 90.04 degrees
Positions (direct):
1 Cd 0.500 0.500 0.250
2 Sr 0.500 0.500 0.750
3 Te 0.000 0.000 0.993
4 Te 0.000 0.000 0.507

## Properties
Symmetry: P4/mmm
Formation energy (no corrections), eV/atom: -0.715
Crystal system: tetragonal



Compound: InGa5Ag
Source: Alexandria
Functional: PBE-GGA
Structure: optimized geometry

Cell lengths 4.071, 4.071, 8.822 Å; angles 90.00, 90.00, 90.00 degrees
Positions (direct):
1 In 0.000 0.000 0.500
2 Ga 0.000 0.500 0.243
3 Ga 0.000 0.500 0.757
4 Ga 0.500 0.000 0.243
5 Ga 0.500 0.000 0.757
6 Ga 0.000 0.000 0.000
7 Ag 0.500 0.500 0.000

## Properties
Symmetry: P4/mmm
Energy of formation from the pure elements, eV/f.u.: 0.31
Crystal system: tetragonal



Compound: Sr3Sn2Au9
Source: Alexandria
Functional: PBE-GGA
Structure: optimized geometry

Cell lengths 4.743, 8.958, 8.958 Å; angles 67.26, 74.65, 74.65 degrees
Positions (direct):
1 Sr 0.000 0.000 0.000
2 Sr 0.714 0.286 0.286
3 Sr 0.286 0.714 0.714
4 Sn 0.500 0.317 0.683
5 Sn 0.500 0.683 0.317
6 Au 0.000 0.500 0.500
7 Au 0.657 0.982 0.705
8 Au 0.343 0.018 0.295
9 Au 0.657 0.705 0.982
10 Au 0.343 0.295 0.018
11 Au 0.860 0.849 0.431
12 Au 0.140 0.151 0.569
13 Au 0.860 0.431 0.849
14 Au 0.140 0.569 0.151

## Properties
Symmetry: Immm
Energy of formation from the pure elements, eV/f.u.: -7.46
Crystal system: orthorhombic



Compound: Sm6GaHg5
Source: Alexandria
Functional: PBE-GGA
Structure: optimized geometry

Cell lengths 5.320, 7.589, 9.248 Å; angles 114.23, 106.91, 90.00 degrees
Positions (direct):
1 Ga 0.000 0.000 0.000
2 Sm 0.837 0.591 0.674
3 Sm 0.837 0.082 0.673
4 Sm 0.500 0.759 0.000
5 Sm 0.500 0.241 0.000
6 Sm 0.163 0.918 0.327
7 Sm 0.163 0.409 0.326
8 Hg 0.671 0.171 0.342
9 Hg 0.334 0.334 0.668
10 Hg 0.000 0.500 0.000
11 Hg 0.666 0.666 0.332
12 Hg 0.329 0.829 0.658

## Properties
Symmetry: C2/m
Energy of formation from the pure elements, eV/f.u.: -5.81
Crystal system: monoclinic



Compound: Pr2BPt6Rh
Source: Alexandria
Functional: PBE-GGA
Structure: optimized geometry

Cell lengths 5.647, 7.540, 7.541 Å; angles 43.97, 68.01, 90.00 degrees
Positions (direct):
1 Pr 0.708 0.292 0.583
2 Pr 0.292 0.708 0.417
3 B 0.500 0.500 0.000
4 Pt 0.266 0.213 0.468
5 Pt 0.787 0.735 0.947
6 Pt 0.266 0.735 0.947
7 Pt 0.734 0.265 0.053
8 Pt 0.213 0.265 0.053
9 Pt 0.734 0.787 0.532
10 Rh 0.000 0.000 0.000

## Properties
Symmetry: R-3m
Energy of formation from the pure elements, eV/f.u.: -7.27
Crystal system: trigonal



Compound: Ba3AcPa2N6
Source: Alexandria
Functional: PBE-GGA
Structure: optimized geometry

Cell lengths 3.750, 7.757, 8.676 Å; angles 105.51, 102.48, 90.00 degrees
Positions (direct):
1 Ba 0.500 0.500 0.000
2 Ba 0.832 0.169 0.664
3 Ba 0.168 0.831 0.336
4 Ac 0.500 0.000 0.000
5 Pa 0.830 0.665 0.660
6 Pa 0.170 0.335 0.340
7 N 0.333 0.858 0.666
8 N 0.687 0.547 0.374
9 N 0.667 0.142 0.334
10 N 0.035 0.254 0.070
11 N 0.965 0.746 0.930
12 N 0.313 0.453 0.626

## Properties
Symmetry: C2/m
Formation energy (no corrections), eV/atom: -1.155
Crystal system: monoclinic



Compound: CdW2
Source: Alexandria
Functional: PBE-GGA
Structure: optimized geometry

Cell lengths 4.634, 4.634, 2.844 Å; angles 90.00, 90.00, 90.00 degrees
Positions (direct):
1 W 0.000 0.500 0.500
2 W 0.500 0.000 0.500
3 Cd 0.000 0.000 0.000

## Properties
Symmetry: P4/mmm
Offset from the most stable computed form, meV per atom: 1587
Energy of formation from the pure elements, eV/f.u.: 6.20
Crystal system: tetragonal



Compound: ZrZnRh2
Source: Alexandria
Functional: PBE-GGA
Structure: optimized geometry

Cell lengths 6.878, 6.878, 5.670 Å; angles 52.67, 52.67, 90.00 degrees
Positions (direct):
1 Zn 0.500 0.500 0.000
2 Zn 0.250 0.750 0.500
3 Rh 0.614 0.125 0.250
4 Rh 0.136 0.625 0.250
5 Rh 0.375 0.386 0.750
6 Rh 0.875 0.864 0.750
7 Zr 0.000 0.000 0.000
8 Zr 0.750 0.250 0.500

## Properties
Symmetry: I-42d
Energy of formation from the pure elements, eV/f.u.: -1.03
Crystal system: tetragonal



Compound: SmTmAg2Te4
Source: Alexandria
Functional: PBE-GGA
Structure: optimized geometry

Cell lengths 4.424, 7.663, 7.450 Å; angles 110.06, 90.00, 90.00 degrees
Positions (direct):
1 Sm 0.500 0.500 0.000
2 Tm 0.000 0.000 0.000
3 Ag 0.500 0.000 0.500
4 Ag 0.000 0.500 0.500
5 Te 0.500 0.245 0.253
6 Te 0.500 0.755 0.747
7 Te 0.000 0.241 0.744
8 Te 0.000 0.759 0.256

## Properties
Symmetry: P2/m
Formation energy (no corrections), eV/atom: -0.824
Crystal system: monoclinic



Compound: Ag2GeB
Source: Alexandria
Functional: PBE-GGA
Structure: optimized geometry

Cell lengths 3.961, 3.961, 8.862 Å; angles 77.09, 77.09, 90.00 degrees
Positions (direct):
1 Ge 0.000 0.000 0.000
2 Ge 0.750 0.250 0.500
3 B 0.500 0.500 0.000
4 B 0.250 0.750 0.500
5 Ag 0.605 0.125 0.250
6 Ag 0.145 0.625 0.250
7 Ag 0.375 0.395 0.750
8 Ag 0.875 0.855 0.750

## Properties
Symmetry: I-42d
Offset from the most stable computed form, meV per atom: 0
Energy of formation from the pure elements, eV/f.u.: 3.45
Crystal system: tetragonal



Compound: Re4TcIr
Source: Alexandria
Functional: PBE-GGA
Structure: optimized geometry

Cell lengths 4.888, 6.886, 6.809 Å; angles 111.96, 99.98, 111.53 degrees
Positions (direct):
1 Re 0.040 0.160 0.737
2 Re 0.747 0.701 0.607
3 Re 0.198 0.578 0.737
4 Re 0.360 0.906 0.607
5 Re 0.640 0.094 0.393
6 Re 0.802 0.422 0.263
7 Re 0.253 0.299 0.393
8 Re 0.960 0.840 0.263
9 Tc 0.250 0.000 0.999
10 Tc 0.750 0.000 0.001
11 Ir 0.328 0.578 0.156
12 Ir 0.672 0.422 0.844

## Properties
Symmetry: C2/c
Offset from the most stable computed form, meV per atom: 0
Energy of formation from the pure elements, eV/f.u.: 1.38
Crystal system: monoclinic